The following is a DFT calculation (PBE-GGA) of crystalline Cs2OsBr6 at its relaxed geometry.

abc: 13.1954 7.6266 6.6697
angles: 90.00 90.49 90.00
Closest atoms and distances in Å follow each position.
Space group C2/m (No. 12)
Asymmetric unit:
Cs (0.1676, 0.0000, 0.2346) (multiplicity 4)  9 Br 3.81-3.82
Os (0.0000, 0.5000, 0.0000) (multiplicity 2)  6 Br 2.51
Br (0.0771, 0.2665, 0.7836) (multiplicity 8)  1 Os 2.51
Br (0.1567, 0.5000, 0.2172) (multiplicity 4)  1 Os 2.51

As for the density of states at the Fermi level: 6.37 states/eV/f.u. The energy relative to the elements, uncorrected is -899 meV/atom. For the total energy, the calculation gives -3.451 eV/atom. For the total magnetization, the calculation gives 4.0 μB per cell.